Material: MgMn4O9
Method: DFT, PBE with a Hubbard U
State: optimized geometry

Output
The calculation puts the density at 4.532 g cm⁻³. The value obtained for the total energy is -6.730 eV per atom. The space group is P4/n.

Lattice parameters (Å, degrees): 7.602 7.602 4.921 90.00 90.00 90.00
Fractional coordinates of all 28 atoms:
Mg  0.250  0.250  0.212
Mg  0.750  0.750  0.788
Mn  0.046  0.638  0.264
Mn  0.138  0.954  0.736
Mn  0.362  0.546  0.736
Mn  0.454  0.862  0.264
Mn  0.546  0.138  0.736
Mn  0.638  0.454  0.264
Mn  0.862  0.046  0.264
Mn  0.954  0.362  0.736
O  0.008  0.168  0.980
O  0.047  0.155  0.488
O  0.155  0.453  0.488
O  0.168  0.492  0.980
O  0.250  0.750  0.500
O  0.332  0.008  0.980
O  0.345  0.047  0.488
O  0.453  0.345  0.488
O  0.492  0.332  0.980
O  0.508  0.668  0.020
O  0.547  0.655  0.512
O  0.655  0.953  0.512
O  0.668  0.992  0.020
O  0.750  0.250  0.500
O  0.832  0.508  0.020
O  0.845  0.547  0.512
O  0.953  0.845  0.512
O  0.992  0.832  0.020